Record 1
# ZnGe2Rh3

An optimized crystal structure of ZnGe2Rh3 (GGA-PBE, Alexandria via LeMat-Bulk).

Geometry as POSCAR:
```
ZnGe2Rh3
1.0
2.9663 0.0000 0.0000
0.0000 2.9663 0.0000
0.0000 0.0000 9.7330
Zn Ge Rh
1 2 3
direct
0.0000 0.0000 0.0000
0.0000 0.0000 0.3278
0.0000 0.0000 0.6722
0.5000 0.5000 0.1767
0.5000 0.5000 0.5000
0.5000 0.5000 0.8233
```

Results
Crystal system = tetragonal
Calculated formation energy = -0.429 eV per atom
Mass density = 10.07 g/cm³
Symmetry = P4/mmm (123)
DOS at the Fermi energy = 0.44 states/eV/atom

Record 2
# Ba4TiN4

An optimized crystal structure of Ba4TiN4 (GGA-PBE, Alexandria via LeMat-Bulk).

Geometry as POSCAR:
```
Ba4TiN4
1.0
6.8281 0.0000 0.0000
2.8224 6.3158 0.0000
1.6228 2.4825 9.2063
Ba Ti N
8 2 8
direct
0.2154 0.0048 0.0626
0.2390 0.7269 0.4631
0.2782 0.0774 0.6524
0.2843 0.5329 0.8798
0.7157 0.4671 0.1202
0.7218 0.9226 0.3476
0.7610 0.2731 0.5369
0.7846 0.9952 0.9374
0.2349 0.3410 0.2553
0.7651 0.6590 0.7447
0.0484 0.1731 0.3179
0.0701 0.6418 0.1402
0.4095 0.3138 0.4108
0.4562 0.1918 0.1222
0.5438 0.8082 0.8778
0.5905 0.6862 0.5892
0.9299 0.3582 0.8598
0.9516 0.8269 0.6821
```

Results
Crystal system = triclinic
Formation energy without anion corrections = -0.77 eV/atom
Mass density = 5.46 g/cm³
Symmetry = P-1 (2)

Record 3
# FeCo7Ni4

An optimized crystal structure of FeCo7Ni4 (GGA-PBE, Alexandria via LeMat-Bulk).

Geometry as POSCAR:
```
FeCo7Ni4
1.0
4.2909 0.0000 0.0000
0.0032 5.0281 0.0000
2.0529 1.2632 6.1067
Fe Co Ni
1 7 4
direct
0.0000 0.0000 0.0000
0.0000 0.5000 0.0000
0.0028 0.6654 0.3323
0.4982 0.7490 0.9988
0.4987 0.9163 0.3317
0.5013 0.0837 0.6683
0.5018 0.2510 0.0012
0.9972 0.3346 0.6677
0.0002 0.1664 0.3341
0.9998 0.8336 0.6659
0.4984 0.5828 0.6675
0.5016 0.4172 0.3325
```

Results
Crystal system = triclinic
Calculated formation energy = 0.002 eV per atom
Mass density = 8.86 g/cm³
Symmetry = P-1 (2)
DOS at the Fermi energy = 1.14 states/eV/atom

Record 4
# CsLiLa2Cu

An optimized crystal structure of CsLiLa2Cu (GGA-PBE, Alexandria via LeMat-Bulk).

Geometry as POSCAR:
```
CsLiLa2Cu
1.0
5.9863 0.0000 0.0000
0.0000 5.9863 0.0000
0.0000 0.0000 5.2004
Cs Li La Cu
1 1 2 1
direct
0.0000 0.0000 0.0000
0.5000 0.5000 0.5000
0.0000 0.5000 0.0000
0.5000 0.0000 0.0000
0.0000 0.0000 0.5000
```

Results
Crystal system = tetragonal
Energy above the lowest structure with this stoichiometry = 0.764 eV/atom
Calculated formation energy = 1.126 eV per atom
Mass density = 4.29 g/cm³
Symmetry = P4/mmm (123)
DOS at the Fermi energy = 0.66 states/eV/atom

Record 5
# La3Sm3Ho

An optimized crystal structure of La3Sm3Ho (GGA-PBE, Alexandria via LeMat-Bulk).

Geometry as POSCAR:
```
La3Sm3Ho
1.0
4.4365 2.5614 7.2965
-4.4365 2.5614 7.2965
0.0000 -5.1228 7.2965
La Sm Ho
6 6 2
direct
0.0601 0.3014 0.8100
0.1900 0.9399 0.6986
0.3014 0.8100 0.0601
0.6986 0.1900 0.9399
0.8100 0.0601 0.3014
0.9399 0.6986 0.1900
0.0642 0.7250 0.5684
0.2750 0.4316 0.9358
0.4316 0.9358 0.2750
0.5684 0.0642 0.7250
0.7250 0.5684 0.0642
0.9358 0.2750 0.4316
0.3505 0.3505 0.3505
0.6495 0.6495 0.6495
```

Results
Crystal system = trigonal
Energy above the lowest structure with this stoichiometry = 0.200 eV/atom
Calculated formation energy = 0.232 eV per atom
Mass density = 6.89 g/cm³
Symmetry = R-3 (148)
DOS at the Fermi energy = 1.56 states/eV/atom

Record 6
# SmYCoSi

An optimized crystal structure of SmYCoSi (GGA-PBE, Alexandria via LeMat-Bulk).

Geometry as POSCAR:
```
SmYCoSi
1.0
1.9966 1.1527 7.0785
-1.9966 1.1527 7.0785
0.0000 -2.3055 7.0785
Sm Y Co Si
1 1 1 1
direct
0.0000 0.0000 0.0000
0.8260 0.8260 0.8260
0.5800 0.5800 0.5800
0.2424 0.2424 0.2424
```

Results
Crystal system = trigonal
Formation energy without anion corrections = -0.48 eV/atom
Mass density = 5.54 g/cm³
Symmetry = R3m (160)
DOS at the Fermi energy = 1.37 states/eV/atom